[1]
MgAgIr4 (PBE, relaxed); final energy = -6.48 eV/atom
1.0
0.0000 3.6921 3.6921
3.6921 0.0000 3.6921
3.6921 3.6921 0.0000
Mg Ag Ir
1 1 4
Cartesian
0.0000 0.0000 0.0000
5.5381 5.5381 5.5381
2.7677 2.7677 2.7677
4.6164 4.6164 2.7677
4.6164 2.7677 4.6164
2.7677 4.6164 4.6164

=====

[2]
Ca3MgH (PBE, relaxed); final energy = -2.33 eV/atom; excess energy over the best structure of this formula in the dataset = 0.0 meV/atom
1.0
5.1511 0.0000 0.0000
0.0000 5.1511 0.0000
0.0000 0.0000 5.1511
Ca Mg H
3 1 1
Cartesian
0.0000 0.0000 2.5755
0.0000 2.5755 0.0000
2.5755 0.0000 0.0000
2.5755 2.5755 2.5755
0.0000 0.0000 0.0000

=====

[3]
LiAcLuNi (PBE, relaxed); final energy = -4.11 eV/atom
1.0
0.0000 3.6186 3.6186
3.6186 0.0000 3.6186
3.6186 3.6186 0.0000
Li Ac Lu Ni
1 1 1 1
Cartesian
0.0000 0.0000 0.0000
1.8093 1.8093 1.8093
5.4279 5.4279 5.4279
3.6186 3.6186 3.6186

=====

[4]
La3Te (PBE, relaxed); formation energy without anion corrections = -622 meV/atom; final energy = -5.10 eV/atom; excess energy over the best structure of this formula in the dataset = 140.3 meV/atom
1.0
3.5328 -4.6906 0.0000
3.5328 4.6906 0.0000
0.0000 0.0000 3.8547
La Te
3 1
Cartesian
0.0000 0.0000 0.0000
1.7664 2.3453 1.9274
1.7664 -2.3453 1.9274
3.5328 0.0000 0.0000

=====

[5]
MoRu (PBE, relaxed); final energy = -10.00 eV/atom
1.0
2.7912 0.0000 0.0000
0.0000 2.7912 0.0000
0.0000 0.0000 3.8226
Mo Ru
1 1
Cartesian
0.0000 0.0000 0.0000
1.3956 1.3956 1.9113

=====

[6]
RbCeAs2 (PBE, relaxed); final energy = -4.76 eV/atom; excess energy over the best structure of this formula in the dataset = 0.0 meV/atom
1.0
2.2208 1.2822 7.8398
-2.2208 1.2822 7.8398
0.0000 -2.5644 7.8398
Rb Ce As
1 1 2
Cartesian
0.0000 0.0000 0.0000
0.0000 0.0000 11.7598
0.0000 0.0000 5.3061
0.0000 0.0000 18.2134

=====

[7]
CsBeZnCO (PBE, relaxed); formation energy without anion corrections = -230 meV/atom; final energy = -4.24 eV/atom; excess energy over the best structure of this formula in the dataset = 77.7 meV/atom
1.0
7.2833 -1.8864 0.0000
7.2833 1.8864 0.0000
-0.7664 0.0000 3.4785
Cs Be Zn C O
1 1 1 1 1
Cartesian
0.0000 0.0000 0.0000
9.5594 0.0000 2.5816
3.5799 0.0000 1.0616
10.6938 0.0000 0.9413
8.2190 0.0000 2.0091

=====

[8]
DyNbAs2 (PBE, relaxed); final energy = -6.90 eV/atom; excess energy over the best structure of this formula in the dataset = 76.2 meV/atom
1.0
1.9389 1.1194 6.4433
-1.9389 1.1194 6.4433
0.0000 -2.2388 6.4433
Dy Nb As
1 1 2
Cartesian
0.0000 0.0000 0.0000
0.0000 0.0000 9.6650
0.0000 0.0000 4.6904
0.0000 0.0000 14.6396

=====

> Among the records above, which one has the lowest final energy?

MoRu

=====

> Among the records above, which one has the highest final energy?

Ca3MgH

=====

> What is the final energy in the sixth record?

-4.76 eV/atom